(1)
## NdGaBi2 (PBE)

Data for NdGaBi2 after structural relaxation.

Output
**Space group**: No. 11
**Formation energy from the elements**: -0.4306 eV/atom
**Polymorph energy (0 for the lowest one)**: 0 meV/atom

Cell: 6.5814 5.4548 6.5941 Å, 90.00 105.85 90.00°
Positions (direct):
Nd1 0.0842 0.2500 0.2794
Nd2 0.9158 0.7500 0.7206
Ga1 0.3094 0.7500 0.1175
Ga2 0.6906 0.2500 0.8825
Bi1 0.2411 0.2500 0.8360
Bi2 0.3830 0.7500 0.5867
Bi3 0.6170 0.2500 0.4133
Bi4 0.7589 0.7500 0.1640

=====

(2)
## KLiTlF5 (PBE)

Data for KLiTlF5 after structural relaxation.

Output
**ΔE_f (raw)**: -1851 kJ/mol of formula units
**Space group**: No. 15

Cell: 6.1965 6.1965 8.2433 Å, 103.50 103.50 107.98°
Positions (direct):
K1 0.1570 0.8430 0.7500
K2 0.8430 0.1570 0.2500
Li1 0.1899 0.8101 0.2500
Li2 0.8101 0.1899 0.7500
Tl1 0.5000 0.5000 0.0000
Tl2 0.5000 0.5000 0.5000
F1 0.1246 0.2556 0.9103
F2 0.2019 0.5969 0.3849
F3 0.2556 0.1246 0.4103
F4 0.4031 0.7981 0.1151
F5 0.4160 0.5840 0.7500
F6 0.5840 0.4160 0.2500
F7 0.5969 0.2019 0.8849
F8 0.7444 0.8754 0.5897
F9 0.7981 0.4031 0.6151
F10 0.8754 0.7444 0.0897

=====

(3)
## Mn4VPt (PBE)

Data for Mn4VPt after structural relaxation.

Output
**Space group**: No. 216
**Formation energy from the elements**: -0.0905 eV/atom

Cell: 4.6785 4.6785 4.6785 Å, 60.00 60.00 60.00°
Positions (direct):
Mn1 0.3770 0.3770 0.3770
Mn2 0.3770 0.3770 0.8689
Mn3 0.3770 0.8689 0.3770
Mn4 0.8689 0.3770 0.3770
V1 0.0000 0.0000 0.0000
Pt1 0.7500 0.7500 0.7500